Entry from Alexandria via LeMat-Bulk: a relaxed IrRu2W crystal (PBE-GGA). Values from VASP.

Cell and atoms, written as Quantum ESPRESSO input:
```
&SYSTEM
  ibrav = 0, nat = 16, ntyp = 3
/
ATOMIC_SPECIES
Ir 192.22 Ir.upf
Ru 101.07 Ru.upf
W 183.84 W.upf
ATOMIC_POSITIONS angstrom
Ir 0.000 0.000 0.000
Ir 0.000 3.110 3.110
Ir 3.110 0.000 3.110
Ir 3.110 3.110 0.000
Ru 0.000 0.000 3.110
Ru 0.000 3.110 0.000
Ru 1.555 1.555 1.555
Ru 1.555 4.665 4.665
Ru 3.110 0.000 0.000
Ru 3.110 3.110 3.110
Ru 4.665 1.555 4.665
Ru 4.665 4.665 1.555
W 1.555 1.555 4.665
W 1.555 4.665 1.555
W 4.665 1.555 1.555
W 4.665 4.665 4.665
CELL_PARAMETERS angstrom
6.220 0.000 0.000
0.000 6.220 0.000
0.000 0.000 6.220
```

Computed properties:
E_form ... 0.3748 eV/atom
Density ... 15961 kg/m³
SG ... F-43m (216)
Calculated total energy ... -155.47 eV/cell
DOS at the Fermi energy ... 1.40 states/eV per atom